[1]
The following is a DFT calculation (GGA+U) of a relaxed PaNiAg2O8 crystal.

abc: 7.063 7.063 6.836
angles: 90.00 90.00 90.00
Space group I-4m2 (No. 119)
Unique sites:
1 Pa 0.000 0.000 0.000 [2 per cell]
2 Ni 0.000 0.500 0.750 [2 per cell]
3 Ag 0.000 0.000 0.500 [2 per cell]
4 Ag 0.000 0.500 0.250 [2 per cell]
5 O 0.000 0.187 0.733 [8 per cell]
6 O 0.000 0.319 0.015 [8 per cell]

Properties
- Fermi-level density of states (states/eV per cell) = 18.80
- volume (A^3/atom) = 14.21
- total magnetic moment (μB per cell) = 4.08
- E (eV per atom) = -5.46

[2]
The following is a DFT calculation (GGA+U) of a relaxed PaNiAgO5 crystal.

abc: 5.698 9.713 7.322
angles: 90.00 91.11 90.00
Space group C2/c (No. 15)
Unique sites:
1 Pa 0.000 0.000 0.000 [4 per cell]
2 Ni 0.000 0.345 0.250 [4 per cell]
3 Ag 0.000 0.354 0.750 [4 per cell]
4 O 0.000 0.131 0.250 [4 per cell]
5 O 0.152 0.386 0.021 [8 per cell]
6 O 0.198 0.143 0.648 [8 per cell]

Properties
- Fermi-level density of states (states/eV per cell) = 19.36
- volume (A^3/atom) = 12.66
- total magnetic moment (μB per cell) = 5.06
- E (eV per atom) = -6.56

[3]
The following is a DFT calculation (GGA+U) of a relaxed NiAg3Pd3O8 crystal.

abc: 10.806 6.143 6.215
angles: 90.00 109.37 90.00
Space group C2/m (No. 12)
Unique sites:
1 Ni 0.000 0.000 0.000 [2 per cell]
2 Ag 0.000 0.000 0.500 [2 per cell]
3 Ag 0.250 0.250 0.500 [4 per cell]
4 Pd 0.000 0.500 0.000 [2 per cell]
5 Pd 0.250 0.250 0.000 [4 per cell]
6 O 0.053 0.247 0.822 [8 per cell]
7 O 0.198 0.500 0.183 [4 per cell]
8 O 0.204 0.000 0.192 [4 per cell]

Properties
- Fermi-level density of states (states/eV per cell) = 7.26
- volume (A^3/atom) = 12.97
- total magnetic moment (μB per cell) = 3.86
- E (eV per atom) = -4.75

[4]
The following is a DFT calculation (GGA+U) of a relaxed NiAgPdO4 crystal.

abc: 6.053 6.279 8.997
angles: 90.00 90.00 90.00
Space group Imma (No. 74)
Unique sites:
1 Ni 0.250 0.250 0.250 [4 per cell]
2 Ag 0.000 0.250 0.645 [4 per cell]
3 Pd 0.000 0.000 0.000 [4 per cell]
4 O 0.000 0.043 0.225 [8 per cell]
5 O 0.217 0.250 0.013 [8 per cell]

Properties
- Fermi-level density of states (states/eV per cell) = 10.53
- volume (A^3/atom) = 12.21
- total magnetic moment (μB per cell) = 3.87
- E (eV per atom) = -4.83

[5]
The following is a DFT calculation (GGA+U) of a relaxed Ni3Ag3PdO8 crystal.

abc: 10.503 5.965 7.318
angles: 90.00 121.97 90.00
Space group C2/m (No. 12)
Unique sites:
1 Ni 0.000 0.000 0.000 [2 per cell]
2 Ni 0.250 0.250 0.000 [4 per cell]
3 Ag 0.000 0.000 0.500 [2 per cell]
4 Ag 0.250 0.250 0.500 [4 per cell]
5 Pd 0.000 0.500 0.000 [2 per cell]
6 O 0.111 0.000 0.840 [4 per cell]
7 O 0.113 0.500 0.847 [4 per cell]
8 O 0.143 0.248 0.170 [8 per cell]

Properties
- Fermi-level density of states (states/eV per cell) = 8.72
- volume (A^3/atom) = 12.96
- total magnetic moment (μB per cell) = 5.96
- E (eV per atom) = -4.59

[6]
The following is a DFT calculation (GGA+U) of a relaxed Ni2AgPtO crystal.

abc: 3.964 3.964 4.335
angles: 90.00 90.00 90.00
Space group P4/mmm (No. 123)
Unique sites:
1 Ni 0.000 0.500 0.000 [2 per cell]
2 Ag 0.000 0.000 0.500 [1 per cell]
3 Pt 0.500 0.500 0.500 [1 per cell]
4 O 0.500 0.500 0.000 [1 per cell]

Properties
- Fermi-level density of states (states/eV per cell) = 1.63
- volume (A^3/atom) = 13.63
- total magnetic moment (μB per cell) = 1.33
- E (eV per atom) = -3.62

[7]
The following is a DFT calculation (GGA+U) of a relaxed NiAgPtO4 crystal.

abc: 6.086 6.347 9.053
angles: 90.00 90.00 90.00
Space group Imma (No. 74)
Unique sites:
1 Ni 0.250 0.250 0.250 [4 per cell]
2 Ag 0.000 0.250 0.648 [4 per cell]
3 Pt 0.000 0.000 0.000 [4 per cell]
4 O 0.000 0.043 0.222 [8 per cell]
5 O 0.213 0.250 0.012 [8 per cell]

Properties
- Fermi-level density of states (states/eV per cell) = 13.53
- volume (A^3/atom) = 12.49
- total magnetic moment (μB per cell) = 3.83
- E (eV per atom) = -5.03

[8]
The following is a DFT calculation (GGA+U) of a relaxed Ni2Ag2PtO6 crystal.

abc: 5.391 8.976 5.932
angles: 90.00 108.13 90.00
Space group C2/m (No. 12)
Unique sites:
1 Ni 0.000 0.164 0.000 [4 per cell]
2 Ag 0.000 0.184 0.500 [4 per cell]
3 Pt 0.000 0.500 0.000 [2 per cell]
4 O 0.113 0.334 0.822 [8 per cell]
5 O 0.114 0.000 0.800 [4 per cell]

Properties
- Fermi-level density of states (states/eV per cell) = 10.02
- volume (A^3/atom) = 12.40
- total magnetic moment (μB per cell) = 4.12
- E (eV per atom) = -4.75

[9]
The following is a DFT calculation (GGA+U) of a relaxed PuNi2AgO5 crystal.

abc: 4.523 5.637 9.775
angles: 90.00 90.00 90.00
Space group Immm (No. 71)
Unique sites:
1 Pu 0.000 0.000 0.000 [2 per cell]
2 Ni 0.000 0.500 0.283 [4 per cell]
3 Ag 0.000 0.000 0.500 [2 per cell]
4 O 0.000 0.243 0.154 [8 per cell]
5 O 0.000 0.500 0.500 [2 per cell]

Properties
- Fermi-level density of states (states/eV per cell) = 6.24
- volume (A^3/atom) = 13.85
- total magnetic moment (μB per cell) = 2.11
- E (eV per atom) = -6.41

[10]
The following is a DFT calculation (GGA+U) of a relaxed Ni2AgRuO6 crystal.

abc: 5.2144 5.2144 14.1327
angles: 90.00 90.00 120.00
Space group R3 (No. 146, hexagonal axes)
Unique sites:
1 Ni 0.0000 0.0000 0.0000 [3 per cell]
2 Ni 0.0000 0.0000 0.4958 [3 per cell]
3 Ag 0.0000 0.0000 0.2048 [3 per cell]
4 Ru 0.0000 0.0000 0.6969 [3 per cell]
5 O 0.0146 0.3341 0.7584 [9 per cell]
6 O 0.0274 0.7305 0.6019 [9 per cell]

Properties
- Fermi-level density of states (states/eV per cell) = 7.86
- volume (A^3/atom) = 11.09
- total magnetic moment (μB per cell) = 9.01
- E (eV per atom) = -5.41

[11]
The following is a DFT calculation (GGA+U) of a relaxed Ni2Ag2RuO6 crystal.

abc: 5.374 8.881 5.986
angles: 90.00 107.94 90.00
Space group C2/m (No. 12)
Unique sites:
1 Ni 0.000 0.163 0.000 [4 per cell]
2 Ag 0.000 0.187 0.500 [4 per cell]
3 Ru 0.000 0.500 0.000 [2 per cell]
4 O 0.104 0.339 0.820 [8 per cell]
5 O 0.124 0.000 0.801 [4 per cell]

Properties
- Fermi-level density of states (states/eV per cell) = 8.56
- volume (A^3/atom) = 12.36
- total magnetic moment (μB per cell) = 12.01
- E (eV per atom) = -5.16

[12]
The following is a DFT calculation (GGA+U) of a relaxed NiAgSb2O crystal.

abc: 4.712 4.712 4.807
angles: 90.00 90.00 90.00
Space group P4/mmm (No. 123)
Unique sites:
1 Ni 0.000 0.000 0.000 [1 per cell]
2 Ag 0.000 0.000 0.500 [1 per cell]
3 Sb 0.000 0.500 0.000 [2 per cell]
4 O 0.500 0.500 0.500 [1 per cell]

Properties
- Fermi-level density of states (states/eV per cell) = 3.60
- volume (A^3/atom) = 21.35
- total magnetic moment (μB per cell) = 0.00
- E (eV per atom) = -2.93